(1)
The following is a DFT calculation (PBE) of a relaxed structure of Te3Os2.

Formation energy (no corrections)   0.51 eV per atom
Size of the total moment   0.00 μB per cell
Relative energy among the computed polymorphs   115.8 meV/atom

a = 4.143 Å, b = 4.143 Å, c = 8.465 Å
α = 90.00°, β = 90.00°, γ = 120.00°
Element x y z (fractional)
Te 0.000 0.000 0.000
Te 0.667 0.333 0.698
Te 0.333 0.667 0.302
Os 0.667 0.333 0.126
Os 0.333 0.667 0.874

---

(2)
The following is a DFT calculation (PBE) of a relaxed structure of Cr3PbBr.

Formation energy (no corrections)   1.40 eV per atom
Size of the total moment   0.00 μB per cell
Relative energy among the computed polymorphs   227.6 meV/atom

a = 4.437 Å, b = 4.437 Å, c = 4.437 Å
α = 90.00°, β = 90.00°, γ = 90.00°
Element x y z (fractional)
Pb 0.500 0.500 0.500
Cr 0.000 0.500 0.000
Cr 0.000 0.000 0.500
Cr 0.500 0.000 0.000
Br 0.000 0.000 0.000

---

(3)
The following is a DFT calculation (PBE) of a relaxed structure of ZrCu2Tc2.

Size of the total moment   0.00 μB per cell
Relative energy among the computed polymorphs   40.3 meV/atom

a = 3.926 Å, b = 3.926 Å, c = 6.055 Å
α = 71.08°, β = 71.08°, γ = 90.00°
Element x y z (fractional)
Cu 0.750 0.250 0.500
Cu 0.250 0.750 0.500
Tc 0.398 0.398 0.204
Tc 0.602 0.602 0.796
Zr 0.000 0.000 0.000

---

(4)
The following is a DFT calculation (PBE) of a relaxed structure of LiTl2Cd.

Raw total energy   -1.952 eV/atom
Size of the total moment   0.00 μB per cell

a = 4.966 Å, b = 3.447 Å, c = 6.042 Å
α = 76.21°, β = 90.00°, γ = 90.00°
Element x y z (fractional)
Tl 0.000 0.992 0.951
Tl 0.500 0.269 0.286
Li 0.500 0.566 0.770
Cd 0.000 0.673 0.493

---

size of the total moment of number 2 (Cr3PbBr)? 0.00 μB per cell